The following is a GGA-PBE calculation of crystalline TaCdSbO6 at its relaxed geometry, from Alexandria via LeMat-Bulk.

The structure belongs to space group P-31c (No. 163); the cell edges are 5.3471, 5.3471 and 9.7600 Å and the angles 90.00°, 90.00° and 120.00°. The distinct sites, in fractional coordinates, are Ta at (0.3333, 0.6667, 0.2500), Cd at (0.0000, 0.0000, 0.0000), Sb at (0.3333, 0.6667, 0.7500) and O at (0.0003, 0.3684, 0.1390).

As for the raw formation energy: -1884 meV/atom. The total magnetization is 0.00 μB per cell.